Record 1
Mg2C | PBE | optimized geometry Values from VASP.

Properties
Fermi-level density of states   0.504 states/eV/atom
Crystal system   tetragonal
E_form   0.939 eV per atom
Energy relative to the lowest polymorph listed for this composition   0.6900 eV/atom
Space group   No. 141

Cell and atoms, written as Quantum ESPRESSO input:
```
&SYSTEM
  ibrav = 0, nat = 12, ntyp = 2
/
ATOMIC_SPECIES
Mg 24.30 Mg.upf
C 12.01 C.upf
CELL_PARAMETERS angstrom
-14.6020 -1.6873 -0.0545
-13.6487 -2.1883 -4.9991
14.4125 -0.5572 2.8349
ATOMIC_POSITIONS angstrom
Mg -13.7310 -3.3088 -3.6067
Mg -16.3805 -2.2472 -2.9302
Mg -4.9022 -1.7818 0.5303
Mg -11.8702 -1.6284 -2.1234
Mg -9.4126 -2.4005 -0.2766
Mg -7.0502 -0.9672 -1.2612
Mg 0.3695 -1.3744 -1.0843
Mg -21.2005 -2.9084 -3.7924
C -8.1548 -2.5438 -2.6092
C -26.7767 -3.6734 -4.7899
C -1.4740 -0.2022 -0.2637
C -5.2067 -2.1394 -2.0818
```



Record 2
RbTaO2F | PBE | optimized geometry Values from VASP.

Properties
Formation energy (no corrections)   -2441 meV per atom
Fermi-level density of states   0.232 states/eV/atom
Crystal system   tetragonal
Space group   No. 123

Cell and atoms, written as Quantum ESPRESSO input:
```
&SYSTEM
  ibrav = 0, nat = 5, ntyp = 4
/
ATOMIC_SPECIES
F 19.00 F.upf
O 16.00 O.upf
Ta 180.95 Ta.upf
Rb 85.47 Rb.upf
CELL_PARAMETERS angstrom
4.0492 0.0000 0.0000
0.0000 4.0492 0.0000
0.0000 0.0000 4.3812
ATOMIC_POSITIONS angstrom
F 0.0000 0.0000 2.1906
O 0.0000 2.0246 0.0000
O 2.0246 0.0000 0.0000
Ta 0.0000 0.0000 0.0000
Rb 2.0246 2.0246 2.1906
```



no.,mass density (g/cm3)
1,2.2
2,7.3